# 1
Computed, not measured: an optimized crystal structure of SrSn3Ir at the GGA-PBE level of DFT.

Geometry as extended XYZ:
```
5
Lattice="5.7698 0.0000 0.0000 0.0000 5.7698 0.0000 0.0000 0.0000 5.7698" Properties=species:S:1:pos:R:3 pbc="T T T"
Ir 2.8849 2.8849 2.8849
Sn 0.0000 0.0000 2.8849
Sn 0.0000 2.8849 0.0000
Sn 2.8849 0.0000 0.0000
Sr 0.0000 0.0000 0.0000
```

Properties
SG: Pm-3m, No. 221
electronic total energy: -2.669 eV per atom

=====

# 2
Computed, not measured: an optimized crystal structure of CaZn2MoP at the GGA-PBE level of DFT.

Geometry as extended XYZ:
```
5
Lattice="-1.6909 4.4133 -0.1179 -4.4105 -1.6830 0.2556 0.1912 0.1958 4.5879" Properties=species:S:1:pos:R:3 pbc="T T T"
Zn -2.2053 -0.8415 0.1278
Zn -0.8454 2.2067 -0.0589
Ca -2.9551 1.4631 2.3628
P 0.0000 0.0000 0.0000
Mo 0.0956 0.0979 2.2939
```

Properties
SG: P4/mmm, No. 123
electronic total energy: -3.847 eV per atom

=====

# 3
Computed, not measured: an optimized crystal structure of Mg2BIr4 at the GGA-PBE level of DFT.

Geometry as extended XYZ:
```
7
Lattice="-2.5332 -1.1325 -3.0078 -1.3914 -3.0659 2.3262 -6.6109 1.8521 2.0865" Properties=species:S:1:pos:R:3 pbc="T T T"
Ir -5.1500 0.6103 1.3236
Ir -5.3855 -2.9567 0.0812
Ir -1.2666 -0.5663 -1.5039
Ir -0.6957 -1.5330 1.1631
Mg -3.2866 -0.9736 0.3507
Mg -7.2489 -1.3728 1.0542
B 0.0000 0.0000 0.0000
```

Properties
SG: I4/mmm, No. 139
electronic total energy: -6.400 eV per atom

=====

# 4
Computed, not measured: an optimized crystal structure of La2YTl at the GGA-PBE level of DFT.

Geometry as extended XYZ:
```
4
Lattice="-2.5405 1.9127 -4.1132 3.3906 -1.9188 -2.9865 -2.6168 -4.1417 -0.3097" Properties=species:S:1:pos:R:3 pbc="T T T"
Tl 0.4250 -0.0030 -3.5499
La 0.0000 0.0000 0.0000
La 0.3869 -3.0303 -1.6481
Y -2.5786 -1.1145 -2.2115
```

Properties
SG: P4/mmm, No. 123
excess energy over the best structure of this formula in the dataset: 0.0 kJ/mol of atoms

=====

# 5
Computed, not measured: an optimized crystal structure of ZrNiS3 at the GGA-PBE level of DFT.

Geometry as extended XYZ:
```
5
Lattice="-4.7591 1.2893 -0.3156 -0.9234 -4.0594 -2.6607 -0.9536 -2.5039 4.1511" Properties=species:S:1:pos:R:3 pbc="T T T"
S -0.4617 -2.0297 -1.3304
S -0.4768 -1.2520 2.0756
S -2.3796 0.6447 -0.1578
Ni -3.3180 -2.6370 0.5874
Zr 0.0000 0.0000 0.0000
```

Properties
SG: Pm-3m, No. 221
excess energy over the best structure of this formula in the dataset: 30.2 kJ/mol of atoms

=====

# 6
Computed, not measured: an optimized crystal structure of LiErTmMg at the GGA-PBE level of DFT.

Geometry as extended XYZ:
```
4
Lattice="5.2660 0.0000 0.0000 2.6330 4.5605 0.0000 2.6330 1.5202 4.2996" Properties=species:S:1:pos:R:3 pbc="T T T"
Li 0.0000 0.0000 0.0000
Mg 5.2660 3.0403 2.1498
Er 7.8989 4.5605 3.2247
Tm 2.6330 1.5202 1.0749
```

Properties
SG: F-43m, No. 216
electronic total energy: -3.073 eV per atom

=====

# 7
Computed, not measured: an optimized crystal structure of TaWCl2 at the GGA-PBE level of DFT.

Geometry as extended XYZ:
```
8
Lattice="5.7274 0.0000 0.0000 0.0000 5.7274 0.0000 2.8637 2.8637 4.7286" Properties=species:S:1:pos:R:3 pbc="T T T"
Ta 2.8637 2.8637 0.0000
Ta 2.8637 5.7274 2.3643
W 0.0000 0.0000 0.0000
W 5.7274 2.8637 2.3643
Cl 4.2956 4.2311 3.5464
Cl 4.3601 1.4319 1.1821
Cl 1.3673 4.2956 1.1821
Cl 7.1593 7.2238 3.5464
```

Properties
SG: I-42d, No. 122
excess energy over the best structure of this formula in the dataset: 165.9 kJ/mol of atoms

=====

# 8
Computed, not measured: an optimized crystal structure of Ca2I2Br at the GGA-PBE level of DFT.

Geometry as extended XYZ:
```
10
Lattice="6.3718 0.0000 0.0000 -3.1859 6.9653 0.1963 0.0000 -3.5146 7.9475" Properties=species:S:1:pos:R:3 pbc="T T T"
I 0.0000 3.1099 3.2455
I 0.0000 -2.5622 6.0987
I 3.1859 0.3407 4.8983
I 3.1859 6.0129 2.0451
Br 0.0000 1.6342 7.3210
Br 3.1859 1.8164 0.8229
Ca 0.0000 6.0992 2.1382
Ca 0.0000 0.2890 4.7443
Ca 3.1859 -2.6485 6.0056
Ca 3.1859 3.1617 3.3995
```

Properties
SG: C2/m, No. 12
excess energy over the best structure of this formula in the dataset: 0.0 kJ/mol of atoms

=====

# 9
Computed, not measured: an optimized crystal structure of GdUTcOs at the GGA-PBE level of DFT.

Geometry as extended XYZ:
```
4
Lattice="-0.0993 -2.5514 -4.0940 0.7183 -4.7699 0.1119 -3.6653 -3.0129 -0.8767" Properties=species:S:1:pos:R:3 pbc="T T T"
Tc -2.2847 -7.7506 -3.6441
Os -0.7616 -2.5835 -1.2147
U 0.0000 0.0000 0.0000
Gd -1.5232 -5.1671 -2.4294
```

Properties
SG: F-43m, No. 216
electronic total energy: -11.695 eV per atom

=====

# 10
Computed, not measured: an optimized crystal structure of PrThP at the GGA-PBE level of DFT.

Geometry as extended XYZ:
```
12
Lattice="-3.3720 2.3747 -4.0785 -5.4977 1.8804 5.6401 4.8073 6.4404 -0.2247" Properties=species:S:1:pos:R:3 pbc="T T T"
P 0.1215 7.4104 2.1518
P -4.1838 3.2851 -0.8150
P 2.8703 6.4702 -0.6682
P -6.9327 4.2253 2.0051
Pr -4.6477 5.5467 0.8841
Pr 0.5854 5.1487 0.4528
Pr -1.8979 4.6058 -1.9348
Pr -2.1645 6.0896 3.2716
Th -1.6494 8.4249 0.0822
Th -2.4129 2.2705 1.2546
Th -5.1617 3.2107 4.0747
Th 1.0994 7.4847 -2.7378
```

Properties
SG: P2_1/m, No. 11
excess energy over the best structure of this formula in the dataset: 0.0 kJ/mol of atoms

=====

# 11
Computed, not measured: an optimized crystal structure of DyCuS at the GGA-PBE level of DFT.

Geometry as extended XYZ:
```
6
Lattice="-2.1355 -1.5816 2.7738 4.3435 -1.5690 2.4493 1.2016 5.6255 1.4729" Properties=species:S:1:pos:R:3 pbc="T T T"
Cu 3.3774 3.1509 4.3968
Cu 0.0322 -0.6760 2.2992
Dy 3.2928 0.0951 2.5893
Dy 0.1168 2.3798 4.1067
S 1.1353 1.3945 1.6692
S 2.2742 1.0804 5.0267
```

Properties
SG: Cmcm, No. 63
electronic total energy: -5.410 eV per atom

=====

Repeat the eighth record exactly.
Computed, not measured: an optimized crystal structure of Ca2I2Br at the GGA-PBE level of DFT.

Geometry as extended XYZ:
```
10
Lattice="6.3718 0.0000 0.0000 -3.1859 6.9653 0.1963 0.0000 -3.5146 7.9475" Properties=species:S:1:pos:R:3 pbc="T T T"
I 0.0000 3.1099 3.2455
I 0.0000 -2.5622 6.0987
I 3.1859 0.3407 4.8983
I 3.1859 6.0129 2.0451
Br 0.0000 1.6342 7.3210
Br 3.1859 1.8164 0.8229
Ca 0.0000 6.0992 2.1382
Ca 0.0000 0.2890 4.7443
Ca 3.1859 -2.6485 6.0056
Ca 3.1859 3.1617 3.3995
```

Properties
SG: C2/m, No. 12
excess energy over the best structure of this formula in the dataset: 0.0 kJ/mol of atoms

=====

Please write out number 3 again, unchanged.
Computed, not measured: an optimized crystal structure of Mg2BIr4 at the GGA-PBE level of DFT.

Geometry as extended XYZ:
```
7
Lattice="-2.5332 -1.1325 -3.0078 -1.3914 -3.0659 2.3262 -6.6109 1.8521 2.0865" Properties=species:S:1:pos:R:3 pbc="T T T"
Ir -5.1500 0.6103 1.3236
Ir -5.3855 -2.9567 0.0812
Ir -1.2666 -0.5663 -1.5039
Ir -0.6957 -1.5330 1.1631
Mg -3.2866 -0.9736 0.3507
Mg -7.2489 -1.3728 1.0542
B 0.0000 0.0000 0.0000
```

Properties
SG: I4/mmm, No. 139
electronic total energy: -6.400 eV per atom